Record 1
YbNbPb2O6 | Alexandria via LeMat-Bulk | GGA-PBE | optimized geometry; symmetry = Fm-3m
1.0
0.0000 4.2158 4.2158
4.2158 0.0000 4.2158
4.2158 4.2158 0.0000
Yb Nb Pb O
1 1 2 6
Direct
0.0000 0.0000 0.0000 Yb
0.5000 0.5000 0.5000 Nb
0.2500 0.2500 0.2500 Pb
0.7500 0.7500 0.7500 Pb
0.2620 0.2620 0.7380 O
0.2620 0.7380 0.2620 O
0.2620 0.7380 0.7380 O
0.7380 0.2620 0.2620 O
0.7380 0.2620 0.7380 O
0.7380 0.7380 0.2620 O

=====

Record 2
NbZnPb2O6 | Alexandria via LeMat-Bulk | GGA-PBE | optimized geometry; symmetry = P2_1/c
1.0
5.6889 0.0000 0.0000
0.0000 5.7969 0.0000
-5.6748 0.0000 8.1095
Nb Zn Pb O
2 2 4 12
Direct
0.0000 0.0000 0.0000 Nb
0.0000 0.5000 0.5000 Nb
0.5000 0.0000 0.5000 Zn
0.5000 0.5000 0.0000 Zn
0.2577 0.0384 0.7509 Pb
0.2577 0.4616 0.2509 Pb
0.7423 0.5384 0.7491 Pb
0.7423 0.9616 0.2491 Pb
0.1570 0.0256 0.2427 O
0.1570 0.4744 0.7427 O
0.2395 0.7136 0.0452 O
0.2395 0.7864 0.5452 O
0.3292 0.1972 0.0411 O
0.3292 0.3028 0.5411 O
0.6708 0.6972 0.4589 O
0.6708 0.8028 0.9589 O
0.7605 0.2136 0.4548 O
0.7605 0.2864 0.9548 O
0.8430 0.5256 0.2573 O
0.8430 0.9744 0.7573 O

=====

Q: Which E values were calculated for the entries above? A: -6.853; -6.425, in eV per atom.
Q: Which energy relative to the elements, uncorrected values were calculated for the entries above? A: -1976; -1574, in meV/atom.